Entry 1:
5
Lattice="3.783 0.000 0.000 0.000 3.783 0.000 1.891 1.891 5.249" Properties=species:S:1:pos:R:3 comment="ScCo2Tc2 (GGA-PBE, relaxed)" spacegroup=I4/mmm energy_ev_per_atom=-8.2360 formation_energy_mev_per_atom=19 pbc="T T T"
Sc 0.000 0.000 0.000
Co 1.891 1.891 1.073
Co 3.783 3.783 4.176
Tc 3.783 1.891 2.625
Tc 1.891 3.783 2.625



Entry 2:
4
Lattice="5.366 -0.013 0.052 4.403 3.069 0.052 1.122 0.351 4.371" Properties=species:S:1:pos:R:3 comment="TaCd2Os (GGA-PBE, relaxed)" spacegroup=C2/m energy_ev_per_atom=-5.8835 formation_energy_mev_per_atom=345 pbc="T T T"
Cd 1.187 0.371 4.339
Cd 5.381 1.683 2.268
Os 8.169 2.555 3.355
Ta 2.723 0.852 1.118



Entry 3:
6
Lattice="-0.476 -3.064 1.557 4.505 -1.566 -1.703 3.817 2.051 8.209" Properties=species:S:1:pos:R:3 comment="NaTlCd (GGA-PBE, relaxed)" spacegroup=P2_1 energy_ev_per_atom=-1.6245 formation_energy_mev_per_atom=-91 pbc="T T T"
Na 5.182 0.330 7.506
Na 5.454 -1.006 1.920
Tl 6.436 -2.674 6.053
Tl 3.723 -1.067 4.929
Cd 2.373 -2.226 2.411
Cd 3.978 -3.567 0.359



Summary of excess energy over the best structure of this formula in the dataset in meV per atom
0, 230, 8
(order as listed above)